First-principles (PBE) data for crystalline CrCu2Au at its relaxed geometry, as listed in Alexandria.

Geometry as POSCAR:
```
CrCu2Au
1.0
0.5335 1.5009 4.0251
-3.0454 -0.7055 2.9944
0.7600 -2.7526 3.2534
Cr Au Cu
1 1 2
Direct
0.0000 0.0000 0.0000
0.5000 0.5000 0.5000
0.7500 0.7500 0.7500
0.2500 0.2500 0.2500
```

Computed properties:
DOS(E_F) in states/eV/atom: 0.415
Formation energy from the elements in eV/f.u.: 0.591
Crystal system: cubic